# PBE CaPSe2N, relaxed
data_CaPSe2N
_chemical_formula_sum 'Ca1 P1 Se2 N1'
_cell_length_a 5.437
_cell_length_b 5.437
_cell_length_c 4.129
_cell_angle_alpha 90.00
_cell_angle_beta 90.00
_cell_angle_gamma 90.00
_symmetry_space_group_name_H-M 'P 4/m m m'
_symmetry_Int_Tables_number 123
_symmetry_space_group_name_Hall '-P 4 2'
loop_
_atom_site_label
_atom_site_type_symbol
_atom_site_fract_x
_atom_site_fract_y
_atom_site_fract_z
Ca1 Ca 0.000 0.000 0.000
P1 P 0.500 0.500 0.500
Se1 Se 0.000 0.500 0.000
N1 N 0.000 0.000 0.500
# - ΔE_f (raw): 1.224 eV per atom
# - Energy above the lowest structure with this stoichiometry: 33.54 kcal/mol of atoms

# PBE MgV2Zn, relaxed
data_MgV2Zn
_chemical_formula_sum 'Mg4 V8 Zn4'
_cell_length_a 6.223
_cell_length_b 6.223
_cell_length_c 6.223
_cell_angle_alpha 90.00
_cell_angle_beta 90.00
_cell_angle_gamma 90.00
_symmetry_space_group_name_H-M 'F m -3 m'
_symmetry_Int_Tables_number 225
_symmetry_space_group_name_Hall '-F 4 2 3'
loop_
_atom_site_label
_atom_site_type_symbol
_atom_site_fract_x
_atom_site_fract_y
_atom_site_fract_z
Mg1 Mg 0.000 0.000 0.000
V1 V 0.250 0.250 0.250
Zn1 Zn 0.000 0.000 0.500
# - Formation enthalpy at 0 K: 0.46 eV/atom
# - Energy above the lowest structure with this stoichiometry: 0.00 kcal/mol of atoms

# PBE BaMgTl2Ga, relaxed
data_BaMgTl2Ga
_chemical_formula_sum 'Ba2 Mg2 Tl4 Ga2'
_cell_length_a 4.856
_cell_length_b 4.856
_cell_length_c 12.596
_cell_angle_alpha 90.00
_cell_angle_beta 90.00
_cell_angle_gamma 90.00
_symmetry_space_group_name_H-M 'I -4 m 2'
_symmetry_Int_Tables_number 119
_symmetry_space_group_name_Hall 'I -4 -2'
loop_
_atom_site_label
_atom_site_type_symbol
_atom_site_fract_x
_atom_site_fract_y
_atom_site_fract_z
Ba1 Ba 0.000 0.000 0.000
Mg1 Mg 0.000 0.500 0.250
Tl1 Tl 0.000 0.000 0.380
Ga1 Ga 0.000 0.500 0.750
# - Formation enthalpy at 0 K: -0.25 eV/atom

# PBE Ta2VSb, relaxed
data_Ta2VSb
_chemical_formula_sum 'Ta8 V4 Sb4'
_cell_length_a 3.977
_cell_length_b 3.977
_cell_length_c 19.951
_cell_angle_alpha 90.00
_cell_angle_beta 90.00
_cell_angle_gamma 90.00
_symmetry_space_group_name_H-M 'I -4 2 d'
_symmetry_Int_Tables_number 122
_symmetry_space_group_name_Hall 'I -4 2bw'
loop_
_atom_site_label
_atom_site_type_symbol
_atom_site_fract_x
_atom_site_fract_y
_atom_site_fract_z
Ta1 Ta 0.248 0.250 0.125
V1 V 0.000 0.000 0.000
Sb1 Sb 0.000 0.000 0.500
# - ΔE_f (raw): 0.550 eV per atom